Compound: CePr4Dy8
Source: the Alexandria database
Functional: GGA-PBE
Structure: optimized geometry

Calculated values
formation energy = 0.524 eV per atom
density = 6.94 Mg/m³
energy = -4.2353 eV per atom

extended XYZ file:
```
13
Lattice="7.6242 -1.1608 1.3319 0.9107 7.6581 1.3319 -1.5249 -1.1608 7.5879" Properties=species:S:1:pos:R:3 pbc="T T T"
Ce 3.5050 2.6682 5.1258
Pr 3.0496 -1.1608 4.4599
Pr -0.3071 3.2486 4.4599
Pr 4.2674 3.2486 1.3319
Pr 0.0000 0.0000 0.0000
Dy 2.1580 5.2422 3.1560
Dy 6.1107 4.6518 3.8627
Dy 4.8520 0.0943 7.0957
Dy 1.3825 4.6518 7.0957
Dy 5.3180 4.0484 7.7772
Dy 1.6920 1.2880 2.4745
Dy 5.6275 0.6846 3.1560
Dy 0.8993 0.6846 6.3890
```

---

Compound: Y8Ho6Er
Source: the Alexandria database
Functional: GGA-PBE
Structure: optimized geometry

Calculated values
ΔE to the lowest computed polymorph = 64.6 meV/atom
formation energy = 0.251 eV per atom
density = 6.23 Mg/m³
energy = -5.3320 eV per atom

extended XYZ file:
```
15
Lattice="-5.3806 -1.6413 -3.4242 4.7523 1.0588 -7.9751 -0.1781 -8.3122 4.2641" Properties=species:S:1:pos:R:3 pbc="T T T"
Y -0.2361 -3.0048 -9.5195
Y -1.6483 -6.2706 -5.7350
Y -3.2296 -1.3240 -5.6212
Y -0.5704 -5.8899 2.3843
Y 0.8418 -2.6241 -1.4001
Y 2.4231 -7.5707 -1.5139
Y -2.9562 -6.5373 -2.6294
Y 2.1497 -2.3574 -4.5057
Ho -0.0003 -0.9683 -7.0830
Ho 1.0357 -4.9358 -6.8092
Ho -1.3279 -3.2248 -3.9152
Ho -0.8062 -7.9264 -0.0521
Ho -1.8421 -3.9590 -0.3260
Ho 0.5214 -5.6700 -3.2199
Er -2.6903 -0.8206 -1.7121
```

---

Among the records above, which one has the lowest density?
Y8Ho6Er

---

What is the energy in the second record?
-5.3320 eV per atom

---

Among the records above, which one has the lowest density?
Y8Ho6Er